(1)
4
Lattice="-3.2854 -0.6731 4.1086 -4.3212 -3.0291 -0.5286 -0.2599 -4.6989 2.4454" Properties=species:S:1:pos:R:3 comment="LiSmGdSn GGA-PBE relaxed" dos_at_fermi_per_ev_cell=5.615 formation_energy_kj_per_mol_fu=-166 total_magnetization_mub_per_atom=1.913 pbc="T T T"
Li -1.9666 -2.1003 1.5063
Sm 0.0000 0.0000 0.0000
Sn -5.8999 -6.3008 4.5190
Gd -3.9332 -4.2005 3.0127



(2)
4
Lattice="-0.1556 -2.3430 4.4056 -1.0557 -4.8754 0.1984 3.5648 -3.2787 1.2108" Properties=species:S:1:pos:R:3 comment="LiSmGdTc GGA-PBE relaxed" dos_at_fermi_per_ev_cell=3.434 formation_energy_kj_per_mol_fu=6 total_magnetization_mub_per_atom=1.784 pbc="T T T"
Sm 1.7651 -7.8728 4.3611
Gd 0.5884 -2.6243 1.4537
Tc 1.1767 -5.2486 2.9074
Li 0.0000 0.0000 0.0000



(3)
4
Lattice="5.3590 0.0000 0.0000 2.6795 4.6410 0.0000 2.6795 1.5470 4.3756" Properties=species:S:1:pos:R:3 comment="LiSmGdTl GGA-PBE relaxed" dos_at_fermi_per_ev_cell=4.071 formation_energy_kj_per_mol_fu=-81 total_magnetization_mub_per_atom=1.973 pbc="T T T"
Gd 8.0385 4.6410 3.2817
Li 0.0000 0.0000 0.0000
Sm 2.6795 1.5470 1.0939
Tl 5.3590 3.0940 2.1878



(4)
6
Lattice="5.5302 0.0000 0.0000 2.7651 4.7893 0.0000 2.7651 1.5964 4.5154" Properties=species:S:1:pos:R:3 comment="Li4GdSn GGA-PBE relaxed" dos_at_fermi_per_ev_cell=5.620 formation_energy_kj_per_mol_fu=-102 total_magnetization_mub_per_atom=1.293 pbc="T T T"
Li 6.9201 3.9953 2.8251
Li 5.5302 1.5878 2.8251
Li 4.1402 3.9953 2.8251
Li 5.5302 3.1928 0.5553
Sn 0.0000 0.0000 0.0000
Gd 2.7651 1.5964 1.1288



Copy entry 2 word for word.
4
Lattice="-0.1556 -2.3430 4.4056 -1.0557 -4.8754 0.1984 3.5648 -3.2787 1.2108" Properties=species:S:1:pos:R:3 comment="LiSmGdTc GGA-PBE relaxed" dos_at_fermi_per_ev_cell=3.434 formation_energy_kj_per_mol_fu=6 total_magnetization_mub_per_atom=1.784 pbc="T T T"
Sm 1.7651 -7.8728 4.3611
Gd 0.5884 -2.6243 1.4537
Tc 1.1767 -5.2486 2.9074
Li 0.0000 0.0000 0.0000



Number 3 is which compound? LiSmGdTl



Copy entry 3 word for word.
4
Lattice="5.3590 0.0000 0.0000 2.6795 4.6410 0.0000 2.6795 1.5470 4.3756" Properties=species:S:1:pos:R:3 comment="LiSmGdTl GGA-PBE relaxed" dos_at_fermi_per_ev_cell=4.071 formation_energy_kj_per_mol_fu=-81 total_magnetization_mub_per_atom=1.973 pbc="T T T"
Gd 8.0385 4.6410 3.2817
Li 0.0000 0.0000 0.0000
Sm 2.6795 1.5470 1.0939
Tl 5.3590 3.0940 2.1878